Record 1
{"formula": "Cu2Ag2AsO6", "functional": "PBE-GGA", "state": "relaxed", "e_tot_ev_per_atom": -4.990, "lattice_angstrom": [[5.089, 0.201, 0.345], [-2.341, 4.523, 0.345], [-0.664, -1.141, 6.016]], "species": ["Cu", "O", "O", "Ag", "Ag", "O", "O", "As", "O", "O", "Cu"], "fractional_positions": [[0.666, 0.334, 0.500], [0.287, 0.966, 0.681], [0.966, 0.287, 0.681], [0.166, 0.834, 0.000], [0.834, 0.166, 0.000], [0.713, 0.034, 0.319], [0.701, 0.701, 0.639], [0.000, 0.000, 0.500], [0.034, 0.713, 0.319], [0.299, 0.299, 0.361], [0.334, 0.666, 0.500]]}


Record 2
{"formula": "Cu4AgAs3O12", "functional": "PBE-GGA", "state": "relaxed", "e_tot_ev_per_atom": -5.479, "lattice_angstrom": [[-7.735, 3.688, -1.893], [1.862, -0.959, -8.523], [-4.620, -5.185, -3.054]], "species": ["As", "O", "O", "O", "O", "O", "Cu", "Cu", "O", "Cu", "O", "O", "O", "As", "Ag", "O", "O", "As", "As", "O", "Cu", "Cu", "O", "Cu", "O", "Cu", "O", "O", "Ag", "As", "O", "O", "O", "O", "O", "O", "As", "O", "O", "Cu"], "fractional_positions": [[0.727, 0.273, 0.250], [0.027, 0.414, 0.198], [0.246, 0.845, 0.535], [0.023, 0.686, 0.374], [0.155, 0.754, 0.965], [0.829, 0.840, 0.608], [0.621, 0.935, 0.642], [0.264, 0.736, 0.250], [0.519, 0.273, 0.262], [0.065, 0.379, 0.858], [0.504, 0.726, 0.175], [0.686, 0.023, 0.874], [0.840, 0.829, 0.108], [0.653, 0.892, 0.116], [0.989, 0.011, 0.250], [0.414, 0.027, 0.698], [0.586, 0.973, 0.302], [0.347, 0.108, 0.884], [0.108, 0.347, 0.384], [0.171, 0.160, 0.392], [0.379, 0.065, 0.358], [0.736, 0.264, 0.750], [0.274, 0.496, 0.325], [0.493, 0.507, 0.750], [0.726, 0.504, 0.675], [0.935, 0.621, 0.142], [0.845, 0.246, 0.035], [0.754, 0.155, 0.465], [0.011, 0.989, 0.750], [0.273, 0.727, 0.750], [0.727, 0.481, 0.238], [0.481, 0.727, 0.738], [0.314, 0.977, 0.126], [0.977, 0.314, 0.626], [0.273, 0.519, 0.762], [0.160, 0.171, 0.892], [0.892, 0.653, 0.616], [0.973, 0.586, 0.802], [0.496, 0.274, 0.825], [0.507, 0.493, 0.250]]}


Record 3
{"formula": "Cu2AgAsO4", "functional": "PBE-GGA", "state": "relaxed", "e_tot_ev_per_atom": -5.073, "lattice_angstrom": [[5.430, 0.689, 0.000], [0.236, 5.468, 0.000], [-2.833, -3.078, 3.663]], "species": ["O", "Ag", "As", "O", "Cu", "O", "Cu", "O"], "fractional_positions": [[0.509, 0.509, 0.684], [0.972, 0.972, 0.945], [0.490, 0.490, 0.981], [0.823, 0.423, 0.247], [0.804, 0.304, 0.607], [0.423, 0.823, 0.247], [0.304, 0.804, 0.607], [0.175, 0.175, 0.684]]}


Record 4
{"formula": "CuAgAs2O6", "functional": "PBE-GGA", "state": "relaxed", "e_tot_ev_per_atom": -5.429, "lattice_angstrom": [[-5.170, -1.274, 0.593], [-0.013, -4.307, 6.294], [-2.723, 5.731, 4.232]], "species": ["O", "O", "O", "Cu", "O", "O", "As", "As", "O", "Ag", "O", "O", "O", "O", "Cu", "O", "O", "Ag", "As", "As"], "fractional_positions": [[0.096, 0.604, 0.160], [0.525, 0.606, 0.684], [0.312, 0.230, 0.038], [0.250, 0.258, 0.742], [0.596, 0.160, 0.604], [0.475, 0.394, 0.316], [0.790, 0.615, 0.791], [0.290, 0.791, 0.615], [0.025, 0.684, 0.606], [0.750, 0.098, 0.902], [0.188, 0.962, 0.770], [0.975, 0.316, 0.394], [0.812, 0.038, 0.230], [0.404, 0.840, 0.396], [0.750, 0.742, 0.258], [0.688, 0.770, 0.962], [0.904, 0.396, 0.840], [0.250, 0.902, 0.098], [0.210, 0.385, 0.209], [0.710, 0.209, 0.385]]}


Record 5
{"formula": "Cu3AgAs4Pb2", "functional": "PBE-GGA", "state": "relaxed", "e_tot_ev_per_atom": -4.069, "formation_energy_mev_per_atom": 46, "lattice_angstrom": [[-1.669, -1.065, -3.783], [3.671, -1.890, -1.088], [-3.575, -9.369, 4.214]], "species": ["As", "Ag", "As", "Cu", "Pb", "Cu", "As", "Pb", "As", "Cu"], "fractional_positions": [[0.500, 0.000, 0.647], [0.500, 0.500, 0.500], [0.000, 0.500, 0.353], [0.000, 0.500, 0.129], [0.000, 0.500, 0.742], [0.500, 0.000, 0.871], [0.500, 0.500, 0.000], [0.500, 0.000, 0.258], [0.000, 0.000, 0.000], [0.000, 0.000, 0.500]]}


Record 6
{"formula": "PmCuAgAs", "functional": "PBE-GGA", "state": "relaxed", "e_tot_ev_per_atom": -4.427, "formation_energy_mev_per_atom": -340, "lattice_angstrom": [[-1.852, -0.855, 4.399], [-0.370, -4.551, 1.632], [2.880, -1.531, 3.588]], "species": ["As", "Ag", "Cu", "Pm"], "fractional_positions": [[0.750, 0.750, 0.750], [0.500, 0.500, 0.500], [0.250, 0.250, 0.250], [0.000, 0.000, 0.000]]}